An optimized crystal structure of Tb4DyPd4, computed with PBE.

The structure in CIF format:
```
data_Tb4DyPd4
_chemical_formula_sum 'Tb8 Dy2 Pd8'
_symmetry_space_group_name_H-M 'P 42/n'
_symmetry_Int_Tables_number 86
_cell_length_a 8.951
_cell_length_b 8.951
_cell_length_c 5.828
_cell_angle_alpha 90.00
_cell_angle_beta 90.00
_cell_angle_gamma 90.00
loop_
_symmetry_equiv_pos_as_xyz
'x,y,z'
'-x,-y,-z'
'-y,x+1/2,z+1/2'
'y,-x+1/2,-z+1/2'
'-x+1/2,-y+1/2,z'
'x+1/2,y+1/2,-z'
'y+1/2,-x,z+1/2'
'-y+1/2,x,-z+1/2'
loop_
_atom_site_label
_atom_site_fract_x
_atom_site_fract_y
_atom_site_fract_z
Tb1 0.067 0.660 0.160
Dy1 0.250 0.250 0.250
Pd1 0.031 0.628 0.655
```

energy of formation = -5.98 eV/f.u.

=====

An optimized crystal structure of TbDy3Pd, computed with PBE.

The structure in CIF format:
```
data_TbDy3Pd
_chemical_formula_sum 'Tb4 Dy12 Pd4'
_symmetry_space_group_name_H-M 'C 1 2/m 1'
_symmetry_Int_Tables_number 12
_cell_length_a 11.593
_cell_length_b 8.476
_cell_length_c 7.931
_cell_angle_alpha 90.00
_cell_angle_beta 129.09
_cell_angle_gamma 90.00
loop_
_symmetry_equiv_pos_as_xyz
'x,y,z'
'-x,-y,-z'
'-x,y,-z'
'x,-y,z'
'x+1/2,y+1/2,z'
'-x+1/2,-y+1/2,-z'
'-x+1/2,y+1/2,-z'
'x+1/2,-y+1/2,z'
loop_
_atom_site_label
_atom_site_fract_x
_atom_site_fract_y
_atom_site_fract_z
Tb1 0.073 0.000 0.275
Dy1 0.040 0.500 0.314
Dy2 0.210 0.199 0.743
Pd1 0.232 0.000 0.086
```

energy of formation = -1.30 eV/f.u.
distance to the lowest polymorph of the same formula = 93 meV/atom

=====

An optimized crystal structure of TbDyPd, computed with PBE.

The structure in CIF format:
```
data_TbDyPd
_chemical_formula_sum 'Tb2 Dy2 Pd2'
_symmetry_space_group_name_H-M 'I 4 m m'
_symmetry_Int_Tables_number 107
_symmetry_space_group_name_Hall 'I 4 -2'
_cell_length_a 3.558
_cell_length_b 3.558
_cell_length_c 12.210
_cell_angle_alpha 90.00
_cell_angle_beta 90.00
_cell_angle_gamma 90.00
loop_
_atom_site_label
_atom_site_fract_x
_atom_site_fract_y
_atom_site_fract_z
Tb1 0.000 0.000 0.000
Dy1 0.000 0.000 0.724
Pd1 0.000 0.000 0.360
```

energy of formation = -1.63 eV/f.u.
distance to the lowest polymorph of the same formula = 29 meV/atom

=====

An optimized crystal structure of Tb2DyPd, computed with PBE.

The structure in CIF format:
```
data_Tb2DyPd
_chemical_formula_sum 'Tb6 Dy3 Pd3'
_symmetry_space_group_name_H-M 'R 3 m'
_symmetry_Int_Tables_number 160
_symmetry_space_group_name_Hall 'R 3 -2"'
_cell_length_a 3.7345
_cell_length_b 3.7345
_cell_length_c 28.6055
_cell_angle_alpha 90.00
_cell_angle_beta 90.00
_cell_angle_gamma 120.00
loop_
_atom_site_label
_atom_site_fract_x
_atom_site_fract_y
_atom_site_fract_z
Tb1 0.0000 0.0000 0.0000
Tb2 0.0000 0.0000 0.2016
Dy1 0.0000 0.0000 0.7668
Pd1 0.0000 0.0000 0.6009
```

energy of formation = -1.15 eV/f.u.
distance to the lowest polymorph of the same formula = 179 meV/atom

=====

An optimized crystal structure of TbDyPd, computed with PBE.

The structure in CIF format:
```
data_TbDyPd
_chemical_formula_sum 'Tb4 Dy4 Pd4'
_symmetry_space_group_name_H-M 'C 1 2/m 1'
_symmetry_Int_Tables_number 12
_cell_length_a 12.814
_cell_length_b 3.526
_cell_length_c 7.128
_cell_angle_alpha 90.00
_cell_angle_beta 106.12
_cell_angle_gamma 90.00
loop_
_symmetry_equiv_pos_as_xyz
'x,y,z'
'-x,-y,-z'
'-x,y,-z'
'x,-y,z'
'x+1/2,y+1/2,z'
'-x+1/2,-y+1/2,-z'
'-x+1/2,y+1/2,-z'
'x+1/2,-y+1/2,z'
loop_
_atom_site_label
_atom_site_fract_x
_atom_site_fract_y
_atom_site_fract_z
Tb1 0.138 0.000 0.069
Dy1 0.137 0.000 0.569
Pd1 0.000 0.500 0.254
```

energy of formation = -1.63 eV/f.u.
distance to the lowest polymorph of the same formula = 29 meV/atom

=====

An optimized crystal structure of Tb5DyPd2, computed with PBE.

The structure in CIF format:
```
data_Tb5DyPd2
_chemical_formula_sum 'Tb20 Dy4 Pd8'
_symmetry_space_group_name_H-M 'C m c m'
_symmetry_Int_Tables_number 63
_symmetry_space_group_name_Hall '-C 2c 2'
_cell_length_a 3.833
_cell_length_b 12.618
_cell_length_c 18.297
_cell_angle_alpha 90.00
_cell_angle_beta 90.00
_cell_angle_gamma 90.00
loop_
_atom_site_label
_atom_site_fract_x
_atom_site_fract_y
_atom_site_fract_z
Tb1 0.000 0.055 0.108
Tb2 0.000 0.349 0.041
Tb3 0.000 0.375 0.750
Dy1 0.000 0.359 0.250
Pd1 0.000 0.242 0.631
```

energy of formation = -2.89 eV/f.u.

=====

An optimized crystal structure of Tb6DyPd3, computed with PBE.

The structure in CIF format:
```
data_Tb6DyPd3
_chemical_formula_sum 'Tb24 Dy4 Pd12'
_symmetry_space_group_name_H-M 'C m c 21'
_symmetry_Int_Tables_number 36
_cell_length_a 11.481
_cell_length_b 13.227
_cell_length_c 7.217
_cell_angle_alpha 90.00
_cell_angle_beta 90.00
_cell_angle_gamma 90.00
loop_
_symmetry_equiv_pos_as_xyz
'x,y,z'
'-x,-y,z+1/2'
'-x,y,z'
'x,-y,z+1/2'
'x+1/2,y+1/2,z'
'-x+1/2,-y+1/2,z+1/2'
'-x+1/2,y+1/2,z'
'x+1/2,-y+1/2,z+1/2'
loop_
_atom_site_label
_atom_site_fract_x
_atom_site_fract_y
_atom_site_fract_z
Tb1 0.000 0.036 0.000
Tb2 0.000 0.231 0.362
Tb3 0.169 0.460 0.511
Tb4 0.227 0.194 0.666
Dy1 0.000 0.320 0.882
Pd1 0.000 0.425 0.216
Pd2 0.187 0.100 0.297
```

energy of formation = -4.92 eV/f.u.

=====

An optimized crystal structure of Tb4DyPd15, computed with PBE.

The structure in CIF format:
```
data_Tb4DyPd15
_chemical_formula_sum 'Tb4 Dy1 Pd15'
_symmetry_space_group_name_H-M 'P 4/m m m'
_symmetry_Int_Tables_number 123
_symmetry_space_group_name_Hall '-P 4 2'
_cell_length_a 4.120
_cell_length_b 4.120
_cell_length_c 20.764
_cell_angle_alpha 90.00
_cell_angle_beta 90.00
_cell_angle_gamma 90.00
loop_
_atom_site_label
_atom_site_fract_x
_atom_site_fract_y
_atom_site_fract_z
Tb1 0.000 0.000 0.100
Tb2 0.000 0.000 0.300
Dy1 0.000 0.000 0.500
Pd1 0.000 0.500 0.000
Pd2 0.000 0.500 0.200
Pd3 0.000 0.500 0.400
Pd4 0.500 0.500 0.100
Pd5 0.500 0.500 0.300
Pd6 0.500 0.500 0.500
```

energy of formation = -17.43 eV/f.u.